Compound: Pr8C3Cl3F
Source: the Alexandria database
Functional: PBE
Structure: optimized geometry

Summary:
The formation energy without anion corrections comes out at -1.07 eV/atom. The calculated total energy is -89.40 eV for the cell shown.

Lattice parameters (Å, degrees): 7.6872 7.6872 8.2578 117.79 117.79 59.89
Last column: nearest neighbours and their distance in Å.
Fractional positions:
Pr 0.2158 0.7435 0.7032  2 C 2.58, 1 F 2.73
Pr 0.2331 0.2331 0.6990  3 C 2.61-2.62
Pr 0.2561 0.2561 0.2965  2 C 2.58, 1 F 2.74
Pr 0.2565 0.7842 0.2968  2 C 2.58, 1 F 2.73
Pr 0.7435 0.2158 0.7032  2 C 2.58, 1 F 2.73
Pr 0.7439 0.7439 0.7035  2 C 2.58, 1 F 2.74
Pr 0.7669 0.7669 0.3010  3 C 2.61-2.62
Pr 0.7842 0.2565 0.2968  2 C 2.58, 1 F 2.73
C 0.0000 0.0000 0.5000  6 Pr 2.58-2.62
C 0.0000 0.5000 0.5000  6 Pr 2.58-2.61
C 0.5000 0.0000 0.5000  6 Pr 2.58-2.61
Cl 0.0000 0.5000 0.0000  6 Pr 3.05-3.08
Cl 0.5000 0.0000 0.0000  6 Pr 3.05-3.08
Cl 0.5000 0.5000 0.0000  6 Pr 3.05-3.08
F 0.5000 0.5000 0.5000  6 Pr 2.73-2.74